# 1
Computed, not measured: an optimized crystal structure of Re4Ru at the PBE level of DFT.

As for the density of states at the Fermi level: 4.463 states/eV per cell. The calculation puts the formation energy at 2.4756 eV per atom. The offset from the most stable computed form is 2429 meV/atom. The volume comes out at 19.04 A^3/atom.

Cell lengths 4.5658, 4.5658, 4.5658 Å; angles 90.00, 90.00, 90.00 degrees
Closest atoms and distances in Å follow each position.
Positions (direct):
Ru (0.5000, 0.5000, 0.5000)  6 Re 2.28
Re (0.0000, 0.0000, 0.0000)  12 Re 3.23
Re (0.5000, 0.0000, 0.5000)  2 Ru 2.28
Re (0.0000, 0.5000, 0.5000)  2 Ru 2.28
Re (0.5000, 0.5000, 0.0000)  2 Ru 2.28


# 2
Computed, not measured: an optimized crystal structure of AlCdP2Cl at the PBE level of DFT.

As for the density of states at the Fermi level: 4.292 states/eV per cell. The offset from the most stable computed form is 0 meV/atom. As for the formation energy (no corrections): 230 meV per atom. The volume comes out at 21.36 A^3/atom.

Cell lengths 4.7656, 4.7656, 4.7023 Å; angles 90.00, 90.00, 90.00 degrees
Closest atoms and distances in Å follow each position.
Positions (direct):
P (0.0000, 0.5000, 0.0000)  2 Al 2.38
P (0.5000, 0.0000, 0.0000)  2 Al 2.38
Cl (0.0000, 0.0000, 0.5000)  2 Al 2.35
Al (0.0000, 0.0000, 0.0000)  2 Cl 2.35, 4 P 2.38
Cd (0.5000, 0.5000, 0.5000)  8 P 3.35, 4 Cl 3.37


# 3
Computed, not measured: an optimized crystal structure of Sc2ReC at the PBE level of DFT.

As for the density of states at the Fermi level: 6.077 states/eV per cell. The calculation puts the formation energy at 1.1173 eV per atom. The volume comes out at 18.46 A^3/atom.

Cell lengths 8.6401, 8.6401, 8.6401 Å; angles 21.20, 21.20, 21.20 degrees
Closest atoms and distances in Å follow each position.
Positions (direct):
Sc (0.9134, 0.9134, 0.9134)  1 C 2.19
Sc (0.0866, 0.0866, 0.0866)  1 C 2.19
Re (0.5000, 0.5000, 0.5000)  6 Sc 2.73
C (0.0000, 0.0000, 0.0000)  2 Sc 2.19


# 4
Computed, not measured: an optimized crystal structure of CsSmP2Pt4 at the PBE level of DFT.

As for the density of states at the Fermi level: 5.374 states/eV per cell. The calculation puts the formation energy at -0.7280 eV per atom. The volume comes out at 23.64 A^3/atom.

Cell lengths 4.0532, 4.0532, 11.5139 Å; angles 90.00, 90.00, 90.00 degrees
Closest atoms and distances in Å follow each position.
Positions (direct):
Cs (0.0000, 0.0000, 0.5000)  8 P 3.71, 4 Cs 4.05, 8 Pt 4.07
Sm (0.0000, 0.0000, 0.0000)  8 Pt 3.01
P (0.5000, 0.5000, 0.2959)  4 Pt 2.35
P (0.5000, 0.5000, 0.7041)  4 Pt 2.35
Pt (0.0000, 0.5000, 0.1932)  2 P 2.35
Pt (0.5000, 0.0000, 0.8068)  2 P 2.35
Pt (0.5000, 0.0000, 0.1932)  2 P 2.35
Pt (0.0000, 0.5000, 0.8068)  2 P 2.35


# 5
Computed, not measured: an optimized crystal structure of RuSe at the PBE level of DFT.

As for the density of states at the Fermi level: 5.125 states/eV per cell. As for the formation energy (no corrections): 517 meV per atom. The volume comes out at 15.68 A^3/atom.

Cell lengths 5.2362, 5.2362, 5.2362 Å; angles 138.36, 138.36, 60.35 degrees
Closest atoms and distances in Å follow each position.
Positions (direct):
Ru (0.0000, 0.0000, 0.0000)  8 Se 2.63-2.93, 4 Ru 2.93
Ru (0.2500, 0.7500, 0.5000)  8 Se 2.63-2.93, 4 Ru 2.93
Se (0.5000, 0.5000, 0.0000)  8 Ru 2.63-2.93, 4 Se 2.93
Se (0.7500, 0.2500, 0.5000)  8 Ru 2.63-2.93, 4 Se 2.93


# 6
Computed, not measured: an optimized crystal structure of CsAsNF2 at the PBE level of DFT.

As for the density of states at the Fermi level: 0.633 states/eV per cell. The offset from the most stable computed form is 0 meV/atom. As for the formation energy (no corrections): -1038 meV per atom. The volume comes out at 16.94 A^3/atom.

Cell lengths 4.7993, 4.7993, 3.6768 Å; angles 90.00, 90.00, 90.00 degrees
Closest atoms and distances in Å follow each position.
Positions (direct):
Cs (0.5000, 0.5000, 0.5000)  8 F 3.02
As (0.0000, 0.0000, 0.0000)  2 N 1.84
N (0.0000, 0.0000, 0.5000)  2 As 1.84
F (0.0000, 0.5000, 0.0000)  2 As 2.40
F (0.5000, 0.0000, 0.0000)  2 As 2.40